No. 1
Mn2Al7Cu2: optimized geometry, GGA-PBE.

Calculated values
Electronic total energy: -51.756 eV per cell
Energy of formation: 9 kJ/mol of atoms
Size of the total moment: 2.270 μB per cell
SG: No. 65

Unit cell a=5.173 b=7.009 c=5.173 alpha=90.00 beta=114.40 gamma=90.00
Last column: magnetic moment on the atom in μB.
Element x y z (fractional)
1 Al 0.000 0.692 0.500  -0.01
2 Al 0.000 0.308 0.500  -0.01
3 Al 0.500 0.233 0.500  -0.01
4 Al 0.500 0.692 0.000  -0.01
5 Al 0.000 0.000 0.000  0.01
6 Al 0.500 0.308 0.000  -0.01
7 Al 0.500 0.767 0.500  -0.01
8 Cu 0.282 0.000 0.718  -0.01
9 Cu 0.718 0.000 0.282  -0.01
10 Mn 0.820 0.500 0.820  1.06
11 Mn 0.180 0.500 0.180  1.06

No. 2
MnAl8Cu2: optimized geometry, GGA-PBE.

Calculated values
Offset from the most stable computed form: 0 meV per atom
Electronic total energy: -48.282 eV per cell
Energy of formation: -9 kJ/mol of atoms
Size of the total moment: 2.386 μB per cell
SG: No. 12

Unit cell a=3.874 b=6.212 c=7.305 alpha=105.70 beta=105.37 gamma=90.00
Last column: magnetic moment on the atom in μB.
Element x y z (fractional)
1 Cu 0.220 0.638 0.440  0.01
2 Cu 0.780 0.362 0.560  0.01
3 Al 0.320 0.085 0.640  -0.01
4 Al 0.956 0.266 0.913  -0.01
5 Al 0.597 0.448 0.195  0.00
6 Al 0.142 0.192 0.284  -0.01
7 Al 0.680 0.915 0.360  -0.01
8 Al 0.403 0.552 0.805  0.00
9 Al 0.858 0.808 0.716  -0.01
10 Al 0.044 0.734 0.087  -0.01
11 Mn 0.500 0.000 0.000  2.48

No. 3
Mn2Al2Cu: optimized geometry, GGA-PBE.

Calculated values
Offset from the most stable computed form: 115 meV per atom
Electronic total energy: -59.233 eV per cell
Energy of formation: 6 kJ/mol of atoms
Size of the total moment: 0.001 μB per cell
SG: No. 127

Unit cell a=6.982 b=6.982 c=2.735 alpha=90.00 beta=90.00 gamma=90.00
Element x y z (fractional)
1 Cu 0.500 0.500 0.000
2 Cu 0.000 0.000 0.000
3 Al 0.689 0.811 0.500
4 Al 0.189 0.689 0.500
5 Al 0.811 0.311 0.500
6 Al 0.311 0.189 0.500
7 Mn 0.896 0.604 0.000
8 Mn 0.104 0.396 0.000
9 Mn 0.604 0.104 0.000
10 Mn 0.396 0.896 0.000

No. 4
MnAl2Cu: optimized geometry, GGA-PBE.

Calculated values
Electronic total energy: -21.069 eV per cell
Energy of formation: -8 kJ/mol of atoms
Size of the total moment: 2.329 μB per cell
SG: No. 12

Unit cell a=4.469 b=4.469 c=4.808 alpha=78.07 beta=78.07 gamma=35.72
Last column: magnetic moment on the atom in μB.
Element x y z (fractional)
1 Al 0.998 0.998 0.996  -0.03
2 Al 0.502 0.502 0.504  -0.03
3 Mn 0.750 0.750 0.750  2.40
4 Cu 0.250 0.250 0.250  0.00

No. 5
Mn2Al2Cu: optimized geometry, GGA-PBE.

Calculated values
Offset from the most stable computed form: 0 meV per atom
Electronic total energy: -30.193 eV per cell
Energy of formation: -5 kJ/mol of atoms
Size of the total moment: 1.917 μB per cell
SG: No. 107

Unit cell a=7.852 b=7.852 c=7.852 alpha=158.31 beta=158.31 gamma=30.86
Last column: magnetic moment on the atom in μB.
Element x y z (fractional)
1 Mn 0.396 0.396 0.000  3.06
2 Mn 0.805 0.805 0.000  -1.29
3 Cu 0.999 0.999 0.000  0.03
4 Al 0.589 0.589 0.000  0.00
5 Al 0.211 0.211 0.000  0.01

No. 6
Mn2AlCu: optimized geometry, GGA-PBE.

Calculated values
Electronic total energy: -26.086 eV per cell
Energy of formation: 2 kJ/mol of atoms
Size of the total moment: 3.131 μB per cell
SG: No. 8

Unit cell a=4.517 b=4.517 c=4.341 alpha=72.36 beta=72.36 gamma=35.89
Last column: magnetic moment on the atom in μB.
Element x y z (fractional)
1 Al 0.499 0.499 0.474  -0.04
2 Mn 0.741 0.741 0.788  1.66
3 Mn 0.008 0.008 0.963  1.47
4 Cu 0.252 0.252 0.275  0.02

No. 7
Mn2AlCu: optimized geometry, GGA-PBE.

Calculated values
Electronic total energy: -26.180 eV per cell
Energy of formation: 0 kJ/mol of atoms
Size of the total moment: 5.866 μB per cell
SG: No. 25

Unit cell a=4.283 b=2.719 c=4.510 alpha=89.98 beta=90.00 gamma=90.00
Last column: magnetic moment on the atom in μB.
Element x y z (fractional)
1 Al 0.000 0.625 0.449  -0.08
2 Mn 0.500 0.125 0.304  2.89
3 Mn 0.000 0.125 0.950  2.89
4 Cu 0.500 0.625 0.797  0.10

No. 8
Mn2AlCu: optimized geometry, GGA-PBE.

Calculated values
Electronic total energy: -25.968 eV per cell
Energy of formation: 5 kJ/mol of atoms
Size of the total moment: 0.449 μB per cell
SG: No. 160

Unit cell a=8.425 b=8.425 c=8.425 alpha=17.86 beta=17.86 gamma=17.86
Last column: magnetic moment on the atom in μB.
Element x y z (fractional)
1 Cu 0.749 0.749 0.749  0.04
2 Mn 0.253 0.253 0.253  -1.31
3 Mn 0.996 0.996 0.996  1.60
4 Al 0.502 0.502 0.502  0.03

Which of these has the lowest energy of formation?
MnAl8Cu2